[1]
TlGaGe2 | PBE-GGA | relaxed

Unit cell a=7.082 b=7.082 c=7.082 alpha=90.00 beta=90.00 gamma=90.00
Positions (direct):
1 Tl 0.000 0.000 0.000
2 Tl 0.000 0.500 0.500
3 Tl 0.500 0.000 0.500
4 Tl 0.500 0.500 0.000
5 Ga 0.000 0.000 0.500
6 Ga 0.000 0.500 0.000
7 Ga 0.500 0.000 0.000
8 Ga 0.500 0.500 0.500
9 Ge 0.250 0.250 0.250
10 Ge 0.250 0.250 0.750
11 Ge 0.250 0.750 0.250
12 Ge 0.250 0.750 0.750
13 Ge 0.750 0.250 0.250
14 Ge 0.750 0.250 0.750
15 Ge 0.750 0.750 0.250
16 Ge 0.750 0.750 0.750

Calculated values
uncorrected energy = -3.362 eV/atom
ΔE_f = 1.18 eV per formula unit
space group = Fm-3m (225)
distance to the lowest polymorph of the same formula = 133.4 meV per atom


[2]
Sm4HoGe4 | PBE-GGA | relaxed

Unit cell a=9.062 b=9.062 c=6.007 alpha=90.00 beta=90.00 gamma=90.00
Positions (direct):
1 Sm 0.055 0.669 0.124
2 Sm 0.169 0.945 0.624
3 Sm 0.331 0.555 0.624
4 Sm 0.445 0.831 0.124
5 Sm 0.555 0.169 0.876
6 Sm 0.669 0.445 0.376
7 Sm 0.831 0.055 0.376
8 Sm 0.945 0.331 0.876
9 Ho 0.250 0.250 0.250
10 Ho 0.750 0.750 0.750
11 Ge 0.017 0.628 0.616
12 Ge 0.128 0.983 0.116
13 Ge 0.372 0.517 0.116
14 Ge 0.483 0.872 0.616
15 Ge 0.517 0.128 0.384
16 Ge 0.628 0.483 0.884
17 Ge 0.872 0.017 0.884
18 Ge 0.983 0.372 0.384

Calculated values
uncorrected energy = -5.250 eV/atom
ΔE_f = -5.33 eV per formula unit
space group = P4_2/n (86)


[3]
MgSbIr2 | PBE-GGA | relaxed

Unit cell a=6.042 b=7.012 c=3.105 alpha=90.00 beta=90.00 gamma=90.00
Positions (direct):
1 Mg 0.000 0.000 0.000
2 Mg 0.500 0.500 0.000
3 Sb 0.000 0.500 0.000
4 Sb 0.500 0.000 0.000
5 Ir 0.250 0.250 0.500
6 Ir 0.250 0.750 0.500
7 Ir 0.750 0.250 0.500
8 Ir 0.750 0.750 0.500

Calculated values
uncorrected energy = -6.022 eV/atom
space group = Cmmm (65)


[4]
RuCNF2 | PBE-GGA | relaxed

Unit cell a=4.681 b=4.681 c=2.444 alpha=90.00 beta=90.00 gamma=90.00
Positions (direct):
1 Ru 0.000 0.000 0.000
2 C 0.500 0.500 0.500
3 N 0.500 0.500 0.000
4 F 0.000 0.500 0.500
5 F 0.500 0.000 0.500

Calculated values
uncorrected energy = -5.838 eV/atom
space group = P4/mmm (123)
distance to the lowest polymorph of the same formula = 0.0 meV per atom


[5]
Rb3AgP2S8 | PBE-GGA | relaxed

Unit cell a=6.861 b=6.861 c=9.713 alpha=90.00 beta=90.00 gamma=120.00
Positions (direct):
1 Rb 0.000 0.000 0.000
2 Rb 0.333 0.667 0.654
3 Rb 0.667 0.333 0.346
4 Ag 0.000 0.000 0.500
5 P 0.333 0.667 0.248
6 P 0.667 0.333 0.752
7 S 0.167 0.334 0.306
8 S 0.167 0.833 0.306
9 S 0.333 0.667 0.040
10 S 0.334 0.167 0.694
11 S 0.666 0.833 0.306
12 S 0.667 0.333 0.960
13 S 0.833 0.167 0.694
14 S 0.833 0.666 0.694

Calculated values
uncorrected energy = -4.069 eV/atom
space group = P-3m1 (164)


[6]
Nd5HoTm | PBE-GGA | relaxed

Unit cell a=9.324 b=9.324 c=9.095 alpha=93.72 beta=93.72 gamma=141.29
Positions (direct):
1 Nd 0.015 0.386 0.646
2 Nd 0.140 0.860 0.750
3 Nd 0.239 0.540 0.035
4 Nd 0.386 0.015 0.146
5 Nd 0.460 0.761 0.465
6 Nd 0.540 0.239 0.535
7 Nd 0.614 0.985 0.854
8 Nd 0.761 0.460 0.965
9 Nd 0.860 0.140 0.250
10 Nd 0.985 0.614 0.354
11 Ho 0.000 0.000 0.000
12 Ho 0.000 0.000 0.500
13 Tm 0.489 0.511 0.750
14 Tm 0.511 0.489 0.250

Calculated values
uncorrected energy = -4.521 eV/atom
ΔE_f = 1.24 eV per formula unit
space group = C2/c (15)


[7]
ZrTa2Ti2 | PBE-GGA | relaxed

Unit cell a=7.477 b=7.477 c=3.418 alpha=90.00 beta=90.00 gamma=90.00
Positions (direct):
1 Zr 0.000 0.000 0.000
2 Zr 0.500 0.500 0.000
3 Ta 0.166 0.334 0.500
4 Ta 0.334 0.834 0.500
5 Ta 0.666 0.166 0.500
6 Ta 0.834 0.666 0.500
7 Ti 0.128 0.628 0.000
8 Ti 0.372 0.128 0.000
9 Ti 0.628 0.872 0.000
10 Ti 0.872 0.372 0.000

Calculated values
uncorrected energy = -9.392 eV/atom
ΔE_f = 1.08 eV per formula unit
space group = P4/mbm (127)
distance to the lowest polymorph of the same formula = 0.0 meV per atom


[8]
CoHSe | PBE-GGA | relaxed

Unit cell a=3.903 b=3.903 c=5.432 alpha=90.00 beta=90.00 gamma=90.00
Positions (direct):
1 Co 0.250 0.750 0.000
2 Co 0.750 0.250 0.000
3 H 0.250 0.250 0.487
4 H 0.750 0.750 0.513
5 Se 0.250 0.250 0.771
6 Se 0.750 0.750 0.229

Calculated values
uncorrected energy = -4.480 eV/atom
space group = P4/nmm (129)
distance to the lowest polymorph of the same formula = 157.6 meV per atom


[9]
KPtSe2 | PBE-GGA | relaxed

Unit cell a=3.978 b=3.978 c=21.955 alpha=90.00 beta=90.00 gamma=120.00
Positions (direct):
1 K 0.000 0.000 0.000
2 K 0.333 0.667 0.667
3 K 0.667 0.333 0.333
4 Pt 0.000 0.000 0.168
5 Pt 0.333 0.667 0.835
6 Pt 0.667 0.333 0.502
7 Se 0.000 0.000 0.557
8 Se 0.000 0.000 0.778
9 Se 0.333 0.667 0.223
10 Se 0.333 0.667 0.445
11 Se 0.667 0.333 0.111
12 Se 0.667 0.333 0.890

Calculated values
uncorrected energy = -4.081 eV/atom
space group = R3m (160)